Density functional theory data (PBE-GGA) for a relaxed structure of KRbTlF6.

Properties
M_tot = 1.0 μB per formula unit
energy relative to the elements, uncorrected = -2050.9 meV per atom

Lattice parameters (Å, degrees): 6.5833 6.5833 5.3077 90.00 90.00 120.00
With the nearest neighbours (Å) after each atom.
Space group P312 (No. 149)
Asymmetric unit:
K 0.0000 0.0000 0.0000 x1  6 F 2.66
Rb 0.6667 0.3333 0.5000 x1  6 F 2.85
Tl 0.3333 0.6667 0.0000 x1  6 F 2.15
F 0.0606 0.3901 0.2183 x6  1 Tl 2.15